[1]
## Cs2ScHgI6 (SCAN)

Data for a crystal of Cs2ScHgI6 relaxed with PBEsol.

Cell and atoms, written as POSCAR:
```
Cs2ScHgI6
1.0
0.0000 5.9621 5.9621
5.9621 0.0000 5.9621
5.9621 5.9621 0.0000
Cs Sc Hg I
2 1 1 6
Direct
0.2500 0.2500 0.2500
0.7500 0.7500 0.7500
0.0000 0.0000 0.0000
0.5000 0.5000 0.5000
0.2399 0.2399 0.7601
0.2399 0.7601 0.2399
0.2399 0.7601 0.7601
0.7601 0.2399 0.2399
0.7601 0.2399 0.7601
0.7601 0.7601 0.2399
```

Results
Symmetry   Fm-3m (225)
E_form (uncorrected)   -1222.2 meV per atom



[2]
## KBaLi (SCAN)

Data for a crystal of KBaLi relaxed with PBEsol.

Cell and atoms, written as POSCAR:
```
KBaLi
1.0
0.0000 4.3814 4.3814
4.3814 0.0000 4.3814
4.3814 4.3814 0.0000
K Ba Li
1 1 1
Direct
0.0000 0.0000 0.0000
0.7500 0.7500 0.7500
0.2500 0.2500 0.2500
```

Results
DFT formation energy   0.431 eV/atom
Symmetry   F-43m (216)



[3]
## LaAs2Rh (SCAN)

Data for a crystal of LaAs2Rh relaxed with PBEsol.

Cell and atoms, written as POSCAR:
```
LaAs2Rh
1.0
4.4159 0.0000 0.0000
0.0000 4.4298 0.0000
-0.2043 0.0000 4.5174
La As Rh
1 2 1
Direct
0.0000 0.0000 0.0000
0.4810 0.5000 0.8649
0.4829 0.0000 0.5074
0.6608 0.5000 0.3606
```

Results
DFT formation energy   -0.918 eV/atom
Symmetry   Pm (6)



[4]
## Co2SiTc (SCAN)

Data for a crystal of Co2SiTc relaxed with PBEsol.

Cell and atoms, written as POSCAR:
```
Co2SiTc
1.0
2.5191 -3.4839 0.0000
2.5191 3.4839 0.0000
0.0000 0.0000 2.5809
Co Si Tc
2 1 1
Direct
0.0000 0.5000 0.0000
0.5000 0.0000 0.0000
0.0000 0.0000 0.5000
0.5000 0.5000 0.5000
```

Results
Symmetry   Cmmm (65)
E_form (uncorrected)   -20.8 meV per atom



[5]
## Ca5Si2N6 (SCAN)

Data for a crystal of Ca5Si2N6 relaxed with PBEsol.

Cell and atoms, written as POSCAR:
```
Ca5Si2N6
1.0
4.8798 -3.0008 0.0000
4.8798 3.0008 0.0000
-2.2591 0.0000 12.4507
Ca Si N
10 4 12
Direct
0.1204 0.8796 0.7500
0.1754 0.6949 0.0009
0.2587 0.4339 0.2834
0.3051 0.8246 0.4991
0.4339 0.2587 0.7834
0.5661 0.7413 0.2166
0.6949 0.1754 0.5009
0.7413 0.5661 0.7166
0.8246 0.3051 0.9991
0.8796 0.1204 0.2500
0.1474 0.4063 0.5762
0.4063 0.1474 0.0762
0.5937 0.8526 0.9238
0.8526 0.5937 0.4238
0.1100 0.1907 0.6480
0.1570 0.2912 0.4369
0.1907 0.1100 0.1480
0.2912 0.1570 0.9369
0.4003 0.4857 0.6278
0.4857 0.4003 0.1278
0.5143 0.5997 0.8722
0.5997 0.5143 0.3722
0.7088 0.8430 0.0631
0.8093 0.8900 0.8520
0.8430 0.7088 0.5631
0.8900 0.8093 0.3520
```

Results
Symmetry   C2/c (15)
E_form (uncorrected)   -1382.2 meV per atom



[6]
## Cr2NiAu (SCAN)

Data for a crystal of Cr2NiAu relaxed with PBEsol.

Cell and atoms, written as POSCAR:
```
Cr2NiAu
1.0
4.3270 -1.3849 0.0000
4.3270 1.3849 0.0000
-0.8792 0.0000 4.2513
Cr Ni Au
2 1 1
Direct
0.2445 0.2445 0.1883
0.7555 0.7555 0.8117
0.5000 0.5000 0.0000
0.0000 0.0000 0.5000
```

Results
DFT formation energy   0.263 eV/atom
Symmetry   C2/m (12)
Polymorph energy (0 for the lowest one)   340 meV/atom



[7]
## ScAu2 (SCAN)

Data for a crystal of ScAu2 relaxed with PBEsol.

Cell and atoms, written as POSCAR:
```
ScAu2
1.0
3.9065 0.0000 0.0000
0.0000 3.9065 0.0000
0.0000 0.0000 4.1112
Sc Au
1 2
Direct
0.0000 0.0000 0.0000
0.0000 0.5000 0.5000
0.5000 0.0000 0.5000
```

Results
DFT formation energy   -0.531 eV/atom
Symmetry   P4/mmm (123)



[8]
## BaLaFe2O (SCAN)

Data for a crystal of BaLaFe2O relaxed with PBEsol.

Cell and atoms, written as POSCAR:
```
BaLaFe2O
1.0
4.2702 0.0000 0.0000
0.0000 4.2702 0.0000
0.0000 0.0000 7.8995
Ba La Fe O
1 1 2 1
Direct
0.0000 0.0000 0.0000
0.0000 0.0000 0.5000
0.0000 0.5000 0.5000
0.5000 0.0000 0.5000
0.5000 0.5000 0.0000
```

Results
Symmetry   P4/mmm (123)
E_form (uncorrected)   949.3 meV per atom



[9]
## CrRuSe3 (SCAN)

Data for a crystal of CrRuSe3 relaxed with PBEsol.

Cell and atoms, written as POSCAR:
```
CrRuSe3
1.0
4.6152 0.0000 0.0000
0.0000 4.6152 0.0000
0.0000 0.0000 4.6152
Cr Ru Se
1 1 3
Direct
0.0000 0.0000 0.0000
0.5000 0.5000 0.5000
0.0000 0.0000 0.5000
0.0000 0.5000 0.0000
0.5000 0.0000 0.0000
```

Results
Symmetry   Pm-3m (221)
E_form (uncorrected)   701.6 meV per atom



[10]
## MgZrAgMo2 (SCAN)

Data for a crystal of MgZrAgMo2 relaxed with PBEsol.

Cell and atoms, written as POSCAR:
```
MgZrAgMo2
1.0
4.8188 0.0000 0.0000
0.0000 4.8188 0.0000
0.0000 0.0000 4.9683
Mg Zr Ag Mo
1 1 1 2
Direct
0.0000 0.0000 0.0000
0.5000 0.5000 0.0000
0.5000 0.5000 0.5000
0.0000 0.5000 0.5000
0.5000 0.0000 0.5000
```

Results
DFT formation energy   1.754 eV/atom
Symmetry   P4/mmm (123)



[11]
## Li2V3P4H4O19 (SCAN)

Data for a crystal of Li2V3P4H4O19 relaxed with PBEsol.

Cell and atoms, written as POSCAR:
```
Li2V3P4H4O19
1.0
10.2660 0.0000 0.0000
0.0000 9.2090 0.0000
-3.5013 0.0000 7.8419
Li V P H O
4 6 8 8 38
Direct
0.0000 0.0402 0.0000
0.0000 0.9598 0.5000
0.4578 0.2385 0.4092
0.4578 0.7615 0.9092
0.1830 0.2584 0.0868
0.1830 0.7416 0.5868
0.5047 0.2398 0.0349
0.5047 0.7602 0.5349
0.7899 0.2550 0.9195
0.7899 0.7450 0.4195
0.2631 0.4619 0.8290
0.2631 0.5381 0.3290
0.2656 0.0096 0.8773
0.2656 0.9904 0.3773
0.7404 0.0132 0.6254
0.7404 0.9868 0.1254
0.7775 0.4485 0.2234
0.7775 0.5515 0.7234
0.1652 0.4351 0.5575
0.1652 0.5649 0.0575
0.3606 0.0967 0.6457
0.3606 0.9033 0.1457
0.6513 0.0928 0.3520
0.6513 0.9072 0.8520
0.8921 0.4402 0.4933
0.8921 0.5598 0.9933
0.0069 0.2714 0.0186
0.0069 0.7286 0.5186
0.1570 0.1010 0.9136
0.1570 0.8990 0.4136
0.1637 0.3833 0.6611
0.1637 0.6167 0.1611
0.1844 0.0813 0.2191
0.1844 0.9187 0.7191
0.1985 0.4329 0.9595
0.1985 0.5671 0.4595
0.2672 0.3725 0.2988
0.2672 0.6275 0.7988
0.3503 0.1045 0.5225
0.3503 0.8955 0.0225
0.3778 0.1032 0.8456
0.3778 0.8968 0.3456
0.3955 0.2207 0.1386
0.3955 0.7793 0.6386
0.4162 0.4053 0.8969
0.4162 0.5947 0.3969
0.6230 0.2294 0.9003
0.6230 0.7706 0.4003
0.6346 0.0776 0.1727
0.6346 0.9224 0.6727
0.6386 0.3679 0.1914
0.6386 0.6321 0.6914
0.6476 0.1136 0.4701
0.6476 0.8864 0.9701
0.7587 0.3874 0.7376
0.7587 0.6126 0.2376
0.8247 0.4213 0.0778
0.8247 0.5787 0.5778
0.8272 0.1077 0.7791
0.8272 0.8923 0.2791
0.8468 0.0799 0.0859
0.8468 0.9201 0.5859
0.8978 0.3894 0.3928
0.8978 0.6106 0.8928
```

Results
Uncorrected energy   -303.2 eV per formula unit
Symmetry   Pc (7)



[12]
## LaCoTe2I (SCAN)

Data for a crystal of LaCoTe2I relaxed with PBEsol.

Cell and atoms, written as POSCAR:
```
LaCoTe2I
1.0
5.0698 0.0000 0.0000
0.0000 5.0698 0.0000
0.0000 0.0000 5.0766
La Co Te I
1 1 2 1
Direct
0.0000 0.0000 0.0000
0.5000 0.5000 0.5000
0.0000 0.5000 0.5000
0.5000 0.0000 0.5000
0.5000 0.5000 0.0000
```

Results
Symmetry   P4/mmm (123)
E_form (uncorrected)   -603.4 meV per atom



[13]
## Hg3SeS (SCAN)

Data for a crystal of Hg3SeS relaxed with PBEsol.

Cell and atoms, written as POSCAR:
```
Hg3SeS
1.0
5.1840 0.0000 0.0000
0.0000 5.1840 0.0000
0.0000 0.0000 5.1840
Hg Se S
3 1 1
Direct
0.0000 0.0000 0.5000
0.0000 0.5000 0.0000
0.5000 0.0000 0.0000
0.0000 0.0000 0.0000
0.5000 0.5000 0.5000
```

Results
Symmetry   Pm-3m (221)
E_form (uncorrected)   446.2 meV per atom



[14]
## RuPt2Rh (SCAN)

Data for a crystal of RuPt2Rh relaxed with PBEsol.

Cell and atoms, written as POSCAR:
```
RuPt2Rh
1.0
3.8335 0.0000 0.0000
0.0000 3.8335 0.0000
0.0000 0.0000 3.8491
Ru Pt Rh
1 2 1
Direct
0.0000 0.0000 0.0000
0.0000 0.5000 0.5000
0.5000 0.0000 0.5000
0.5000 0.5000 0.0000
```

Results
DFT formation energy   0.028 eV/atom
Symmetry   P4/mmm (123)
Polymorph energy (0 for the lowest one)   74 meV/atom



[15]
## TlFeCu (SCAN)

Data for a crystal of TlFeCu relaxed with PBEsol.

Cell and atoms, written as POSCAR:
```
TlFeCu
1.0
0.0000 2.9582 2.9582
2.9582 0.0000 2.9582
2.9582 2.9582 0.0000
Tl Fe Cu
1 1 1
Direct
0.0000 0.0000 0.0000
0.5000 0.5000 0.5000
0.7500 0.7500 0.7500
```

Results
DFT formation energy   0.537 eV/atom
Symmetry   F-43m (216)



[16]
## K3CoO2 (SCAN)

Data for a crystal of K3CoO2 relaxed with PBEsol.

Cell and atoms, written as POSCAR:
```
K3CoO2
1.0
11.7044 0.0000 0.0000
0.0000 7.2458 0.0000
0.0000 0.0000 5.9143
K Co O
12 4 8
Direct
0.0957 0.2500 0.2120
0.1394 0.0005 0.6683
0.1394 0.4995 0.6683
0.3606 0.9995 0.1683
0.3606 0.5005 0.1683
0.4043 0.7500 0.7120
0.5957 0.2500 0.2880
0.6394 0.0005 0.8317
0.6394 0.4995 0.8317
0.8606 0.9995 0.3317
0.8606 0.5005 0.3317
0.9043 0.7500 0.7880
0.1179 0.7500 0.1821
0.3821 0.2500 0.6821
0.6179 0.7500 0.3179
0.8821 0.2500 0.8179
0.0258 0.7500 0.4100
0.2168 0.7500 0.9651
0.2832 0.2500 0.4651
0.4742 0.2500 0.9100
0.5258 0.7500 0.0900
0.7168 0.7500 0.5349
0.7832 0.2500 0.0349
0.9742 0.2500 0.5900
```

Results
Symmetry   Pnma (62)
E_form (uncorrected)   -1261.9 meV per atom



[17]
## TePb (SCAN)

Data for a crystal of TePb relaxed with PBEsol.

Cell and atoms, written as POSCAR:
```
TePb
1.0
0.0000 3.2148 3.2148
3.2148 0.0000 3.2148
3.2148 3.2148 0.0000
Te Pb
1 1
Direct
0.0000 0.0000 0.0000
0.5000 0.5000 0.5000
```

Results
Symmetry   Fm-3m (225)
E_form (uncorrected)   -384.0 meV per atom



[18]
## MnAs (SCAN)

Data for a crystal of MnAs relaxed with PBEsol.

Cell and atoms, written as POSCAR:
```
MnAs
1.0
2.8883 0.0000 0.0000
-1.4442 2.5014 0.0000
0.0000 0.0000 7.2539
Mn As
2 2
Direct
0.3333 0.6667 0.2500
0.6667 0.3333 0.7500
0.0000 0.0000 0.0000
0.0000 0.0000 0.5000
```

Results
DFT formation energy   0.046 eV/atom
Symmetry   P6_3/mmc (194)



[19]
## Sr5Pb (SCAN)

Data for a crystal of Sr5Pb relaxed with PBEsol.

Cell and atoms, written as POSCAR:
```
Sr5Pb
1.0
4.1203 0.0000 0.0000
0.0000 4.1203 0.0000
0.0000 0.0000 16.1188
Sr Pb
5 1
Direct
0.0000 0.0000 0.0000
0.0000 0.0000 0.3804
0.0000 0.0000 0.6196
0.5000 0.5000 0.1860
0.5000 0.5000 0.8140
0.5000 0.5000 0.5000
```

Results
DFT formation energy   -0.262 eV/atom
Symmetry   P4/mmm (123)



[20]
## SrCoNO2 (SCAN)

Data for a crystal of SrCoNO2 relaxed with PBEsol.

Cell and atoms, written as POSCAR:
```
SrCoNO2
1.0
3.9822 0.0000 0.0000
0.0000 3.9822 0.0000
0.0000 0.0000 3.4490
Sr Co N O
1 1 1 2
Direct
0.0000 0.0000 0.0000
0.5000 0.5000 0.5000
0.5000 0.5000 0.0000
0.0000 0.5000 0.5000
0.5000 0.0000 0.5000
```

Results
Symmetry   P4/mmm (123)
E_form (uncorrected)   -1186.8 meV per atom